1.
A geometry-optimized Cs2La2BiO6 structure. Source: Alexandria, functional PBE.

The calculation puts the density of states at the Fermi level at 3.7 states/eV/cell. The value obtained for the formation energy without anion corrections is -2.17 eV/atom.

Lattice parameters (Å, degrees): 6.366 6.366 7.360 97.77 97.77 119.69
Fractional positions:
1 Cs 0.165 0.835 0.000
2 Cs 0.835 0.165 0.000
3 La 0.335 0.665 0.500
4 La 0.665 0.335 0.500
5 Bi 0.000 0.000 0.500
6 O 0.045 0.371 0.661
7 O 0.259 0.259 0.335
8 O 0.371 0.045 0.661
9 O 0.629 0.955 0.339
10 O 0.741 0.741 0.665
11 O 0.955 0.629 0.339

***

2.
A geometry-optimized Cs2LaBiO4 structure. Source: Alexandria, functional PBE.

The calculation puts the density of states at the Fermi level at 0.0 states/eV/cell. The value obtained for the formation energy without anion corrections is -1.91 eV/atom.

Lattice parameters (Å, degrees): 6.455 3.754 7.270 90.00 107.31 90.00
Fractional positions:
1 Cs 0.000 0.000 0.000
2 Cs 0.500 0.500 0.000
3 La 0.000 0.500 0.500
4 Bi 0.500 0.000 0.500
5 O 0.224 0.000 0.672
6 O 0.272 0.500 0.323
7 O 0.728 0.500 0.677
8 O 0.776 0.000 0.328

***

3.
A geometry-optimized Cs2LaBi2O6 structure. Source: Alexandria, functional PBE.

The calculation puts the density of states at the Fermi level at 4.5 states/eV/cell. The value obtained for the formation energy without anion corrections is -1.65 eV/atom.

Lattice parameters (Å, degrees): 6.658 6.658 8.987 112.89 112.89 60.17
Fractional positions:
1 Cs 0.231 0.231 0.182
2 Cs 0.769 0.769 0.818
3 La 0.500 0.500 0.000
4 Bi 0.068 0.068 0.721
5 Bi 0.932 0.932 0.279
6 O 0.214 0.734 0.166
7 O 0.266 0.786 0.834
8 O 0.268 0.268 0.841
9 O 0.732 0.732 0.159
10 O 0.734 0.214 0.166
11 O 0.786 0.266 0.834

***

4.
A geometry-optimized Cs4La3BiS8 structure. Source: Alexandria, functional PBE.

The calculation puts the density of states at the Fermi level at 0.0 states/eV/cell. The value obtained for the formation energy without anion corrections is -1.61 eV/atom.

Lattice parameters (Å, degrees): 9.492 9.492 9.492 54.11 54.11 54.11
Fractional positions:
1 Cs 0.000 0.000 0.000
2 Cs 0.000 0.500 0.500
3 Cs 0.500 0.000 0.500
4 Cs 0.500 0.500 0.000
5 La 0.000 0.000 0.500
6 La 0.000 0.500 0.000
7 La 0.500 0.000 0.000
8 Bi 0.500 0.500 0.500
9 S 0.229 0.229 0.229
10 S 0.233 0.727 0.727
11 S 0.273 0.273 0.767
12 S 0.273 0.767 0.273
13 S 0.727 0.233 0.727
14 S 0.727 0.727 0.233
15 S 0.767 0.273 0.273
16 S 0.771 0.771 0.771

***

5.
A geometry-optimized Cs3La2BiSe6 structure. Source: Alexandria, functional PBE.

The calculation puts the density of states at the Fermi level at 0.0 states/eV/cell. The value obtained for the formation energy without anion corrections is -1.47 eV/atom.

Lattice parameters (Å, degrees): 7.727 7.727 8.771 98.44 98.44 120.00
Fractional positions:
1 Cs 0.000 0.000 0.000
2 Cs 0.334 0.666 0.000
3 Cs 0.666 0.334 0.000
4 La 0.167 0.833 0.500
5 La 0.833 0.167 0.500
6 Bi 0.500 0.500 0.500
7 Se 0.106 0.436 0.309
8 Se 0.234 0.234 0.692
9 Se 0.436 0.106 0.309
10 Se 0.564 0.894 0.691
11 Se 0.766 0.766 0.308
12 Se 0.894 0.564 0.691

***

6.
A geometry-optimized Cs3La3BiSe8 structure. Source: Alexandria, functional PBE.

The calculation puts the density of states at the Fermi level at 14.8 states/eV/cell. The value obtained for the formation energy without anion corrections is -1.47 eV/atom.

Lattice parameters (Å, degrees): 9.957 9.957 9.957 52.63 52.63 52.63
Fractional positions:
1 Cs 0.000 0.500 0.500
2 Cs 0.500 0.000 0.500
3 Cs 0.500 0.500 0.000
4 La 0.000 0.000 0.500
5 La 0.000 0.500 0.000
6 La 0.500 0.000 0.000
7 Bi 0.500 0.500 0.500
8 Se 0.230 0.230 0.230
9 Se 0.239 0.724 0.724
10 Se 0.276 0.276 0.761
11 Se 0.276 0.761 0.276
12 Se 0.724 0.239 0.724
13 Se 0.724 0.724 0.239
14 Se 0.761 0.276 0.276
15 Se 0.770 0.770 0.770